(1)
Crystalline Pa2MoP at its relaxed geometry, computed with PBE.

The structure in POSCAR format:
```
Pa2MoP
1.0
1.976 1.141 6.755
-1.976 1.141 6.755
0.000 -2.281 6.755
Pa Mo P
2 1 1
direct
0.246 0.246 0.246
0.754 0.754 0.754
0.500 0.500 0.500
0.000 0.000 0.000
```

Summary:
Space group: R-3m, No. 166
Uncorrected energy in eV/atom: -9.0551
Magnetic moment in μB/atom: 0.00
Energy of formation from the pure elements in eV per atom: -0.247

(2)
Crystalline NdBeGe at its relaxed geometry, computed with PBE.

The structure in POSCAR format:
```
NdBeGe
1.0
4.004 0.000 0.000
-2.002 3.468 0.000
0.000 0.000 4.268
Nd Be Ge
1 1 1
direct
0.000 0.000 0.000
0.667 0.333 0.500
0.333 0.667 0.500
```

Summary:
Space group: P-6m2, No. 187
Uncorrected energy in eV/atom: -5.0088
Magnetic moment in μB/atom: 0.00
Energy of formation from the pure elements in eV per atom: -0.638

(3)
Crystalline TlGaPtO6 at its relaxed geometry, computed with PBE.

The structure in POSCAR format:
```
TlGaPtO6
1.0
5.259 0.000 0.000
-2.629 4.554 0.000
0.000 0.000 9.324
Tl Ga Pt O
2 2 2 12
direct
0.000 0.000 0.000
0.000 0.000 0.500
0.333 0.667 0.250
0.667 0.333 0.750
0.333 0.667 0.750
0.667 0.333 0.250
0.003 0.368 0.635
0.003 0.635 0.865
0.365 0.368 0.865
0.365 0.997 0.635
0.368 0.003 0.135
0.368 0.365 0.365
0.632 0.635 0.635
0.632 0.997 0.865
0.635 0.003 0.365
0.635 0.632 0.135
0.997 0.365 0.135
0.997 0.632 0.365
```

Summary:
Space group: P-31c, No. 163
Uncorrected energy in eV/atom: -5.3306
Magnetic moment in μB/atom: 0.00
Formation energy without anion corrections in meV per atom: -755

(4)
Crystalline CdW2 at its relaxed geometry, computed with PBE.

The structure in POSCAR format:
```
CdW2
1.0
2.163 -5.709 0.000
2.163 5.709 0.000
0.000 0.000 4.359
Cd W
2 4
direct
0.077 0.923 0.750
0.923 0.077 0.250
0.251 0.749 0.250
0.386 0.614 0.750
0.614 0.386 0.250
0.749 0.251 0.750
```

Summary:
Space group: Cmcm, No. 63
Uncorrected energy in eV/atom: -8.4230
Magnetic moment in μB/atom: 0.00
Energy of formation from the pure elements in eV per atom: 0.517

(5)
Crystalline Ca2AsPt at its relaxed geometry, computed with PBE.

The structure in POSCAR format:
```
Ca2AsPt
1.0
0.000 3.495 3.495
3.495 0.000 3.495
3.495 3.495 0.000
Ca As Pt
2 1 1
direct
0.000 0.000 0.000
0.250 0.250 0.250
0.500 0.500 0.500
0.750 0.750 0.750
```

Summary:
Space group: F-43m, No. 216
Uncorrected energy in eV/atom: -4.2230
Magnetic moment in μB/atom: 0.00
Energy of formation from the pure elements in eV per atom: -0.550

(6)
Crystalline Al4SiNi2 at its relaxed geometry, computed with PBE.

The structure in POSCAR format:
```
Al4SiNi2
1.0
7.815 0.000 0.000
0.000 2.893 0.000
-2.468 0.000 8.649
Al Si Ni
8 2 4
direct
0.031 0.250 0.385
0.096 0.750 0.135
0.371 0.250 0.066
0.394 0.250 0.374
0.606 0.750 0.626
0.629 0.750 0.934
0.904 0.250 0.865
0.969 0.750 0.615
0.352 0.250 0.762
0.648 0.750 0.238
0.168 0.750 0.872
0.266 0.750 0.546
0.734 0.250 0.454
0.832 0.250 0.128
```

Summary:
Space group: P2_1/m, No. 11
Uncorrected energy in eV/atom: -4.8697
Magnetic moment in μB/atom: 0.00
Formation energy without anion corrections in meV per atom: -305

(7)
Crystalline Be2Nb2Cu at its relaxed geometry, computed with PBE.

The structure in POSCAR format:
```
Be2Nb2Cu
1.0
-1.410 1.410 8.455
1.410 -1.410 8.455
1.410 1.410 -8.455
Be Nb Cu
2 2 1
direct
0.250 0.750 0.500
0.750 0.250 0.500
0.117 0.117 0.000
0.883 0.883 0.000
0.500 0.500 0.000
```

Summary:
Space group: I4/mmm, No. 139
Uncorrected energy in eV/atom: -6.0837
Magnetic moment in μB/atom: 0.00
Energy of formation from the pure elements in eV per atom: 0.254

(8)
Crystalline BaScBe2 at its relaxed geometry, computed with PBE.

The structure in POSCAR format:
```
BaScBe2
1.0
3.819 -2.199 0.000
3.819 2.199 0.000
-2.558 0.000 6.091
Ba Sc Be
1 1 2
direct
0.000 0.000 0.000
0.500 0.500 0.500
0.179 0.179 0.535
0.821 0.821 0.465
```

Summary:
Space group: C2/m, No. 12
Uncorrected energy in eV/atom: -3.6108
Magnetic moment in μB/atom: 0.00
Energy of formation from the pure elements in eV per atom: 0.316